[1]
A relaxed KLi3Cl crystal, computed with PBE.

Cell lengths 5.2891, 5.2891, 5.2891 Å; angles 90.00, 90.00, 90.00 degrees
Closest atoms and distances in Å follow each position.
Fractional positions:
Li  0.0000  0.5000  0.0000  2 Cl 2.64
Li  0.0000  0.0000  0.5000  2 Cl 2.64
Li  0.5000  0.0000  0.0000  2 Cl 2.64
Cl  0.0000  0.0000  0.0000  6 Li 2.64
K  0.5000  0.5000  0.5000  12 Li 3.74

Values from the calculation:
**Crystal system**: cubic
**Density of states at the Fermi level**: 0.519 states/eV per atom
**Raw total energy**: -10.7 eV per cell
**SG**: Pm-3m
**Excess energy over the best structure of this formula in the dataset**: 0 meV/atom



[2]
A relaxed KLi5Cl6 crystal, computed with PBE.

Cell lengths 6.5848, 6.6358, 6.6825 Å; angles 60.23, 80.44, 70.45 degrees
Closest atoms and distances in Å follow each position.
Fractional positions:
Cl  0.7124  0.7355  0.0000  3 Li 2.42-2.68
Cl  0.2876  0.2645  0.0000  3 Li 2.42-2.68
Li  0.5000  0.5000  0.0000  2 Cl 2.42
Li  0.0000  0.6768  0.6464  6 Cl 2.58-2.87
Li  0.5000  0.1677  0.6646  4 Cl 2.47-2.68
Cl  0.2545  0.5378  0.3709  3 Li 2.47-2.58
Cl  0.7455  0.4622  0.6291  3 Li 2.47-2.58
Cl  0.7455  0.0913  0.3709  3 Li 2.47-2.58
Cl  0.2545  0.9087  0.6291  3 Li 2.47-2.58
Li  0.5000  0.8323  0.3354  4 Cl 2.47-2.68
K  0.0000  0.0000  0.0000  6 Cl 2.96-2.98
Li  0.0000  0.3232  0.3536  6 Cl 2.58-2.87

Values from the calculation:
**Crystal system**: monoclinic
**Density of states at the Fermi level**: 0.000 states/eV per atom
**Raw total energy**: -43.1 eV per cell
**SG**: C2/m



[3]
A relaxed KLiCl2 crystal, computed with PBE.

Cell lengths 4.9996, 4.2012, 4.9984 Å; angles 89.99, 90.00, 90.00 degrees
Closest atoms and distances in Å follow each position.
Fractional positions:
Cl  0.0000  0.9806  0.8750  2 Li 2.50
Cl  0.5000  0.0198  0.3750  2 Li 2.50
K  0.0000  0.4994  0.3751  8 Cl 3.21-3.32
Li  0.5000  0.0001  0.8750  4 Cl 2.50

Values from the calculation:
**Crystal system**: tetragonal
**Density of states at the Fermi level**: 0.000 states/eV per atom
**Raw total energy**: -13.9 eV per cell
**SG**: P-4m2



[4]
A relaxed K12Li3Cl5 crystal, computed with PBE.

Cell lengths 17.4670, 17.4670, 17.4670 Å; angles 109.47, 109.47, 109.47 degrees
Closest atoms and distances in Å follow each position.
Fractional positions:
Li  0.8750  0.7500  0.1250  8 K 3.88-4.00
Cl  0.5000  0.0000  0.5000  6 K 3.24
K  0.1195  0.4161  0.0934  2 Cl 3.03-3.24
K  0.8805  0.2966  0.4738  2 Cl 3.03-3.24
Cl  0.8750  0.2500  0.6250  4 K 3.03
K  0.9738  0.3805  0.2966  2 Cl 3.03-3.24
K  0.1195  0.7034  0.5262  2 Cl 3.03-3.24
K  0.3228  0.7966  0.4161  2 Cl 3.03-3.24
Cl  0.1250  0.7500  0.3750  4 K 3.03
Cl  0.3750  0.1250  0.7500  4 K 3.03
K  0.3228  0.5262  0.4066  2 Cl 3.03-3.24
K  0.2034  0.6772  0.0839  2 Cl 3.03-3.24
K  0.0839  0.9066  0.3805  2 Cl 3.03-3.24
K  0.4066  0.0262  0.3228  2 Cl 3.03-3.24
Li  0.2500  0.6250  0.8750  8 K 3.88-4.00
K  0.0839  0.1772  0.2034  2 Cl 3.03-3.24
K  0.7966  0.3228  0.9161  2 Cl 3.03-3.24
K  0.1772  0.0934  0.9738  2 Cl 3.03-3.24
Li  0.3750  0.7500  0.6250  8 K 3.88-4.00
K  0.2966  0.4161  0.8228  2 Cl 3.03-3.24
Li  0.3750  0.6250  0.2500  8 K 3.88-4.00
Li  0.7500  0.8750  0.6250  8 K 3.88-4.00
Li  0.6250  0.2500  0.3750  8 K 3.88-4.00
Cl  0.0000  0.0000  0.0000  6 K 3.24
K  0.4738  0.7966  0.8805  2 Cl 3.03-3.24
K  0.5934  0.9738  0.6772  2 Cl 3.03-3.24
K  0.6195  0.0262  0.2034  2 Cl 3.03-3.24
K  0.8228  0.9066  0.0262  2 Cl 3.03-3.24
Cl  0.7500  0.6250  0.3750  4 K 3.03
K  0.6772  0.2034  0.5839  2 Cl 3.03-3.24
K  0.7034  0.5839  0.1772  2 Cl 3.03-3.24
K  0.4738  0.6772  0.0934  2 Cl 3.03-3.24
Cl  0.1250  0.3750  0.2500  4 K 3.03
K  0.4161  0.1195  0.5934  2 Cl 3.03-3.24
Li  0.1250  0.8750  0.7500  8 K 3.88-4.00
Li  0.6250  0.3750  0.7500  8 K 3.88-4.00
Cl  0.2500  0.8750  0.1250  4 K 3.03
K  0.2034  0.5262  0.6195  2 Cl 3.03-3.24
K  0.5839  0.8805  0.4066  2 Cl 3.03-3.24
K  0.9066  0.8228  0.5262  2 Cl 3.03-3.24
K  0.1772  0.0839  0.7034  2 Cl 3.03-3.24
Cl  0.8750  0.6250  0.7500  4 K 3.03
K  0.3805  0.9738  0.7966  2 Cl 3.03-3.24
K  0.3805  0.4066  0.0839  2 Cl 3.03-3.24
Cl  0.3750  0.2500  0.1250  4 K 3.03
K  0.4161  0.2966  0.3228  2 Cl 3.03-3.24
Li  0.2500  0.1250  0.3750  8 K 3.88-4.00
K  0.9161  0.0934  0.6195  2 Cl 3.03-3.24
K  0.5839  0.7034  0.6772  2 Cl 3.03-3.24
K  0.9738  0.5934  0.1772  2 Cl 3.03-3.24
Cl  0.0000  0.5000  0.5000  6 K 3.24
K  0.5262  0.3228  0.9066  2 Cl 3.03-3.24
K  0.5262  0.2034  0.1195  2 Cl 3.03-3.24
K  0.8228  0.9161  0.2966  2 Cl 3.03-3.24
Cl  0.5000  0.5000  0.0000  6 K 3.24
K  0.4066  0.3805  0.5839  2 Cl 3.03-3.24
K  0.0934  0.9161  0.1195  2 Cl 3.03-3.24
K  0.9161  0.8228  0.7966  2 Cl 3.03-3.24
K  0.8805  0.5839  0.9066  2 Cl 3.03-3.24
Li  0.1250  0.2500  0.8750  8 K 3.88-4.00
K  0.6772  0.4738  0.5934  2 Cl 3.03-3.24
Cl  0.6250  0.8750  0.2500  4 K 3.03
Cl  0.0000  0.0000  0.5000  6 K 3.24
Cl  0.7500  0.1250  0.8750  4 K 3.03
Li  0.7500  0.3750  0.1250  8 K 3.88-4.00
K  0.0262  0.4066  0.8228  2 Cl 3.03-3.24
Li  0.8750  0.1250  0.2500  8 K 3.88-4.00
Cl  0.0000  0.5000  0.0000  6 K 3.24
Cl  0.6250  0.7500  0.8750  4 K 3.03
K  0.7966  0.4738  0.3805  2 Cl 3.03-3.24
K  0.5934  0.6195  0.4161  2 Cl 3.03-3.24
K  0.9066  0.0839  0.8805  2 Cl 3.03-3.24
Cl  0.5000  0.0000  0.0000  6 K 3.24
K  0.2966  0.8805  0.9738  2 Cl 3.03-3.24
Cl  0.2500  0.3750  0.6250  4 K 3.03
K  0.6195  0.5934  0.9161  2 Cl 3.03-3.24
K  0.0262  0.6195  0.7034  2 Cl 3.03-3.24
K  0.7034  0.1195  0.0262  2 Cl 3.03-3.24
K  0.0934  0.1772  0.4738  2 Cl 3.03-3.24
Cl  0.5000  0.5000  0.5000  6 K 3.24

Values from the calculation:
**Crystal system**: cubic
**Density of states at the Fermi level**: 0.586 states/eV per atom
**Raw total energy**: -177.1 eV per cell
**SG**: Ia-3d



[5]
A relaxed KLi2Cl crystal, computed with PBE.

Cell lengths 6.6910, 6.6910, 6.6910 Å; angles 147.78, 112.14, 77.13 degrees
Closest atoms and distances in Å follow each position.
Fractional positions:
Li  0.0497  0.0497  0.0000  4 Li 3.35-3.71
K  0.6847  0.1847  0.5000  2 Cl 3.08
Li  0.3162  0.8162  0.5000  2 Cl 2.32
Cl  0.4493  0.4493  0.0000  2 Li 2.32

Values from the calculation:
**Crystal system**: orthorhombic
**Density of states at the Fermi level**: 0.471 states/eV per atom
**Raw total energy**: -9.4 eV per cell
**SG**: Imm2
**Excess energy over the best structure of this formula in the dataset**: 128 meV/atom



[6]
A relaxed KLiCl2 crystal, computed with PBE.

Cell lengths 7.0706, 7.0706, 6.5908 Å; angles 57.56, 57.56, 90.00 degrees
Closest atoms and distances in Å follow each position.
Fractional positions:
Cl  0.2039  0.6250  0.2500  2 Li 2.40
K  0.0000  0.0000  0.0000  4 Cl 3.11
Cl  0.8750  0.7961  0.7500  2 Li 2.40
Cl  0.5461  0.1250  0.2500  2 Li 2.40
Li  0.5000  0.5000  0.0000  4 Cl 2.40
K  0.7500  0.2500  0.5000  4 Cl 3.11
Li  0.2500  0.7500  0.5000  4 Cl 2.40
Cl  0.3750  0.4539  0.7500  2 Li 2.40

Values from the calculation:
**Crystal system**: tetragonal
**Density of states at the Fermi level**: 0.000 states/eV per atom
**Raw total energy**: -28.2 eV per cell
**SG**: I-42d



Number 1: ΔE_f (raw) -0.403 eV per atom. Number 2: ΔE_f (raw) -1.780 eV per atom. Number 3: ΔE_f (raw) -1.803 eV per atom. Number 4: ΔE_f (raw) -0.807 eV per atom. Number 5: ΔE_f (raw) -0.648 eV per atom. Number 6: ΔE_f (raw) -1.851 eV per atom.